No. 1
Computed, not measured: crystalline BaCeNi2S4 at its relaxed geometry at the PBE-GGA level of DFT.

The structure in CIF format:
```
data_BaCeNi2S4
_chemical_formula_sum 'Ba2 Ce2 Ni4 S8'
_space_group_name_H-M_alt 'I 2 2 2'
_space_group_IT_number 23
_cell_length_a 6.431
_cell_length_b 6.438
_cell_length_c 8.385
_cell_angle_alpha 90.00
_cell_angle_beta 90.00
_cell_angle_gamma 90.00
loop_
_space_group_symop_operation_xyz
'x,y,z'
'-x,-y,z'
'x,-y,-z'
'-x,y,-z'
'x+1/2,y+1/2,z+1/2'
'-x+1/2,-y+1/2,z+1/2'
'x+1/2,-y+1/2,-z+1/2'
'-x+1/2,y+1/2,-z+1/2'
loop_
_atom_site_label
_atom_site_type_symbol
_atom_site_fract_x
_atom_site_fract_y
_atom_site_fract_z
_atom_site_occupancy
Ba1 Ba 0.000 0.000 0.000 1
Ce1 Ce 0.000 0.000 0.500 1
Ni1 Ni 0.000 0.500 0.248 1
S1 S 0.224 0.224 0.283 1
```

=====

No. 2
Computed, not measured: crystalline BaCeNiS4 at its relaxed geometry at the PBE-GGA level of DFT.

The structure in CIF format:
```
data_BaCeNiS4
_chemical_formula_sum 'Ba4 Ce4 Ni4 S16'
_space_group_name_H-M_alt 'C m c m'
_space_group_IT_number 63
_space_group_name_Hall '-C 2c 2'
_cell_length_a 6.144
_cell_length_b 15.673
_cell_length_c 6.476
_cell_angle_alpha 90.00
_cell_angle_beta 90.00
_cell_angle_gamma 90.00
loop_
_atom_site_label
_atom_site_type_symbol
_atom_site_fract_x
_atom_site_fract_y
_atom_site_fract_z
_atom_site_occupancy
Ba1 Ba 0.000 0.105 0.250 1
Ce1 Ce 0.000 0.376 0.250 1
Ni1 Ni 0.000 0.229 0.750 1
S1 S 0.000 0.088 0.750 1
S2 S 0.000 0.450 0.750 1
S3 S 0.250 0.250 0.000 1
```

=====

No. 3
Computed, not measured: crystalline BaCeNiSe4 at its relaxed geometry at the PBE-GGA level of DFT.

The structure in CIF format:
```
data_BaCeNiSe4
_chemical_formula_sum 'Ba2 Ce2 Ni2 Se8'
_space_group_name_H-M_alt 'P 1 21/m 1'
_space_group_IT_number 11
_cell_length_a 7.077
_cell_length_b 5.975
_cell_length_c 9.007
_cell_angle_alpha 90.00
_cell_angle_beta 106.64
_cell_angle_gamma 90.00
loop_
_space_group_symop_operation_xyz
'x,y,z'
'-x,-y,-z'
'-x,y+1/2,-z'
'x,-y+1/2,z'
loop_
_atom_site_label
_atom_site_type_symbol
_atom_site_fract_x
_atom_site_fract_y
_atom_site_fract_z
_atom_site_occupancy
Ba1 Ba 0.241 0.250 0.437 1
Ce1 Ce 0.233 0.250 0.942 1
Ni1 Ni 0.253 0.750 0.173 1
Se1 Se 0.064 0.750 0.352 1
Se2 Se 0.084 0.750 0.911 1
Se3 Se 0.487 0.506 0.779 1
```

=====

No. 4
Computed, not measured: crystalline BaCe2NpO8 at its relaxed geometry at the PBE-GGA level of DFT.

The structure in CIF format:
```
data_BaCe2NpO8
_chemical_formula_sum 'Ba1 Ce2 Np1 O8'
_space_group_name_H-M_alt 'P 1 2/m 1'
_space_group_IT_number 10
_cell_length_a 4.223
_cell_length_b 7.495
_cell_length_c 5.527
_cell_angle_alpha 90.00
_cell_angle_beta 90.09
_cell_angle_gamma 90.00
loop_
_space_group_symop_operation_xyz
'x,y,z'
'-x,-y,-z'
'-x,y,-z'
'x,-y,z'
loop_
_atom_site_label
_atom_site_type_symbol
_atom_site_fract_x
_atom_site_fract_y
_atom_site_fract_z
_atom_site_occupancy
Ba1 Ba 0.000 0.000 0.000 1
Ce1 Ce 0.500 0.254 0.500 1
Np1 Np 0.000 0.500 0.000 1
O1 O 0.000 0.296 0.251 1
O2 O 0.499 0.000 0.720 1
O3 O 0.499 0.500 0.237 1
```

=====

No. 5
Computed, not measured: crystalline BaCeNpO6 at its relaxed geometry at the PBE-GGA level of DFT.

The structure in CIF format:
```
data_BaCeNpO6
_chemical_formula_sum 'Ba2 Ce2 Np2 O12'
_space_group_name_H-M_alt 'P -3 1 c'
_space_group_IT_number 163
_space_group_name_Hall '-P 3 2c'
_cell_length_a 5.9849
_cell_length_b 5.9849
_cell_length_c 10.8326
_cell_angle_alpha 90.00
_cell_angle_beta 90.00
_cell_angle_gamma 120.00
loop_
_atom_site_label
_atom_site_type_symbol
_atom_site_fract_x
_atom_site_fract_y
_atom_site_fract_z
_atom_site_occupancy
Ba1 Ba 0.0000 0.0000 0.0000 1
Ce1 Ce 0.3333 0.6667 0.2500 1
Np1 Np 0.3333 0.6667 0.7500 1
O1 O 0.0233 0.3877 0.6496 1
```

=====

No. 6
Computed, not measured: crystalline Ba2CeNpS6 at its relaxed geometry at the PBE-GGA level of DFT.

The structure in CIF format:
```
data_Ba2CeNpS6
_chemical_formula_sum 'Ba4 Ce2 Np2 S12'
_space_group_name_H-M_alt 'P 1 21/c 1'
_space_group_IT_number 14
_cell_length_a 7.266
_cell_length_b 7.527
_cell_length_c 12.694
_cell_angle_alpha 90.00
_cell_angle_beta 124.81
_cell_angle_gamma 90.00
loop_
_space_group_symop_operation_xyz
'x,y,z'
'-x,-y,-z'
'-x,y+1/2,-z+1/2'
'x,-y+1/2,z+1/2'
loop_
_atom_site_label
_atom_site_type_symbol
_atom_site_fract_x
_atom_site_fract_y
_atom_site_fract_z
_atom_site_occupancy
Ba1 Ba 0.233 0.059 0.250 1
Ce1 Ce 0.500 0.000 0.000 1
Np1 Np 0.000 0.000 0.500 1
S1 S 0.154 0.210 0.954 1
S2 S 0.246 0.702 0.955 1
S3 S 0.331 0.022 0.746 1
```

=====

| no. | N(E_F) (states/eV/f.u.) | formation energy without anion corrections (eV per atom) |
| --- | --- | --- |
| 1 | 8.0 | -1.127 |
| 2 | 5.1 | -1.350 |
| 3 | 5.4 | -1.344 |
| 4 | 3.4 | -3.034 |
| 5 | 0.7 | -3.062 |
| 6 | 15.9 | -1.794 |